The following is a PBE calculation of ZrUSi after structural relaxation, from Alexandria via LeMat-Bulk.

Summary:
magnetization = 0.21 μB per formula unit
V = 60.6 Å³/f.u.
SG = Immm, No. 71
formation energy (no corrections) = -0.110 eV/atom

Structure (POSCAR):
```
ZrUSi
1.0
4.684 0.000 0.000
2.342 5.115 -0.909
2.342 -0.591 5.161
U Si Zr
2 2 2
Direct
0.000 0.854 0.146
0.000 0.146 0.854
0.500 0.654 0.346
0.500 0.346 0.654
0.762 0.738 0.738
0.238 0.262 0.262
```